1.
Here is crystalline La2SmCo2 at its relaxed geometry from Alexandria via LeMat-Bulk. Energies are from GGA-PBE.

a = 3.8513 Å, b = 6.5890 Å, c = 6.2608 Å
α = 58.54°, β = 72.09°, γ = 73.01°
Atoms (fractional coordinates):
La: 0.3171 0.1698 0.6960
Sm: 0.5000 0.5000 0.0000
La: 0.6829 0.8302 0.3040
Co: 0.9522 0.8695 0.7261
Co: 0.0478 0.1305 0.2739

Magnetization in μB/f.u.: 0.00
Energy in eV/atom: -5.840
Calculated density in g/cm3: 7.13

2.
Here is crystalline La5Pm2Tm12 at its relaxed geometry from Alexandria via LeMat-Bulk. Energies are from GGA-PBE.

a = 6.8013 Å, b = 11.7861 Å, c = 12.5892 Å
α = 138.36°, β = 111.96°, γ = 76.63°
Atoms (fractional coordinates):
Tm: 0.5625 0.9511 0.6068
Tm: 0.2080 0.5925 0.3922
La: 0.2605 0.4901 0.6017
Tm: 0.3164 0.3807 0.7983
Tm: 0.9331 0.1226 0.2502
Tm: 0.4375 0.0489 0.3932
Tm: 0.0669 0.8774 0.7498
La: 0.7395 0.5099 0.3983
Tm: 0.3473 0.2463 0.9705
Tm: 0.7920 0.4075 0.6078
Tm: 0.8880 0.2304 0.0377
La: 0.1666 0.6583 0.1660
Pm: 0.3853 0.1486 0.1838
Tm: 0.1120 0.7696 0.9623
La: 0.8334 0.3417 0.8340
Tm: 0.6527 0.7537 0.0295
Pm: 0.6147 0.8514 0.8162
Tm: 0.6836 0.6193 0.2017
La: 0.0000 0.0000 0.5000

Magnetization in μB/f.u.: 0.00
Energy in eV/atom: -4.547
Calculated density in g/cm3: 8.07

Number 2 is which compound?
La5Pm2Tm12